# 1
! RbLi2PaTe4 | Alexandria via LeMat-Bulk | PBE-GGA | relaxed; values from VASP
&SYSTEM
  ibrav = 0, nat = 8, ntyp = 4
/
ATOMIC_SPECIES
Rb 85.47 Rb.upf
Li 6.94 Li.upf
Pa 231.04 Pa.upf
Te 127.60 Te.upf
ATOMIC_POSITIONS angstrom
Rb 0.0000 0.0000 0.0000
Li 3.9662 1.7274 1.5912
Li 11.8987 5.1681 4.7606
Pa 7.9325 3.4478 3.1759
Te 6.2611 1.0821 3.2702
Te 6.2611 5.8135 3.0816
Te 9.6038 3.3479 0.8104
Te 9.6038 3.5476 5.5414
CELL_PARAMETERS angstrom
7.9325 0.0000 0.0000
3.9662 6.1357 0.2578
3.9662 0.7598 6.0940
! * total DFT energy (no corrections): -4.12 eV/atom

# 2
! KTiCd2O4 | Alexandria via LeMat-Bulk | PBE-GGA | relaxed; values from VASP
&SYSTEM
  ibrav = 0, nat = 8, ntyp = 4
/
ATOMIC_SPECIES
K 39.10 K.upf
Ti 47.87 Ti.upf
Cd 112.41 Cd.upf
O 16.00 O.upf
ATOMIC_POSITIONS angstrom
K 2.7268 2.9632 4.2282
Ti 2.7268 2.9632 0.0003
Cd 2.8456 0.1177 2.1148
Cd -0.1188 2.8456 2.1148
O 1.0244 1.1132 3.1570
O 1.6134 3.9878 1.0717
O 3.8402 1.9387 1.0717
O -1.0243 -1.1131 3.1569
CELL_PARAMETERS angstrom
5.6912 0.2354 0.0000
-0.2375 5.6911 0.0000
-2.7268 -2.9632 4.2282
! * total DFT energy (no corrections): -5.60 eV/atom